The following is a DFT calculation (PBE) of a geometry-optimized Mg2ZnNiH structure.

Unit cell a=4.817 b=4.515 c=4.817 alpha=90.00 beta=90.00 gamma=90.00
Fractional positions:
Mg (0.500, 0.000, 0.000)
Mg (0.000, 0.000, 0.500)
H (0.500, 0.500, 0.500)
Zn (0.000, 0.500, 0.000)
Ni (0.000, 0.000, 0.000)

As for the polymorph energy (0 for the lowest one): 677 meV/atom. The space group is P4/mmm. The value obtained for the density of states at the Fermi level is 2.31 states/eV/f.u. As for the crystal system: tetragonal.